Entry 1:
Entry from Alexandria: an optimized crystal structure of Ba2ThSe2O2 (PBE).

## Properties
* theoretical density: 6.238 g/cm³
* E_tot: -6.678 eV/atom
* ΔE_f (raw): -2656 meV per atom

Lattice parameters (Å, degrees): 4.614 4.614 9.301 104.36 104.36 90.00
Element x y z (fractional)
Ba (0.362, 0.362, 0.724)
Ba (0.638, 0.638, 0.276)
Th (0.000, 0.000, 0.000)
Se (0.172, 0.172, 0.343)
Se (0.828, 0.828, 0.657)
O (0.000, 0.500, 0.000)
O (0.500, 0.000, 0.000)

=====

Entry 2:
Entry from Alexandria: an optimized crystal structure of BaTiSe2O8 (PBE).

## Properties
* theoretical density: 4.252 g/cm³
* E_tot: -6.179 eV/atom
* ΔE_f (raw): -1475 meV per atom

Lattice parameters (Å, degrees): 5.481 6.174 7.580 53.92 68.81 63.65
Site moments in Bohr magnetons follow the coordinates.
Element x y z (fractional)
Ba (0.500, 0.500, 0.500)  0.00
Ti (0.000, 0.000, 0.000)  0.03
Se (0.297, 0.263, 0.144)  0.04
Se (0.703, 0.737, 0.856)  0.04
O (0.912, 0.388, 0.787)  0.11
O (0.677, 0.521, 0.126)  0.01
O (0.088, 0.612, 0.213)  0.11
O (0.323, 0.479, 0.874)  0.01
O (0.628, 0.018, 0.205)  0.04
O (0.372, 0.982, 0.795)  0.04
O (0.150, 0.018, 0.205)  0.04
O (0.850, 0.982, 0.795)  0.04

=====

Entry 3:
Entry from Alexandria: an optimized crystal structure of BaTiSeO5 (PBE).

## Properties
* theoretical density: 4.657 g/cm³
* E_tot: -6.798 eV/atom
* ΔE_f (raw): -2036 meV per atom

Lattice parameters (Å, degrees): 5.982 5.982 7.928 107.17 107.17 101.79
Element x y z (fractional)
Ba (0.325, 0.675, 0.250)
Ba (0.675, 0.325, 0.750)
Ti (0.000, 0.000, 0.500)
Ti (0.000, 0.000, 0.000)
Se (0.714, 0.286, 0.250)
Se (0.286, 0.714, 0.750)
O (0.020, 0.980, 0.250)
O (0.980, 0.020, 0.750)
O (0.906, 0.293, 0.066)
O (0.094, 0.707, 0.934)
O (0.707, 0.094, 0.434)
O (0.293, 0.906, 0.566)
O (0.781, 0.601, 0.383)
O (0.219, 0.399, 0.617)
O (0.399, 0.219, 0.117)
O (0.601, 0.781, 0.883)

=====

Entry 4:
Entry from Alexandria: an optimized crystal structure of Ba2TiSe2O2 (PBE).

## Properties
* theoretical density: 5.624 g/cm³
* E_tot: -6.321 eV/atom
* ΔE_f (raw): -2231 meV per atom

Lattice parameters (Å, degrees): 4.333 4.333 8.621 104.55 104.55 90.00
Element x y z (fractional)
Ba (0.379, 0.379, 0.758)
Ba (0.621, 0.621, 0.242)
Ti (0.000, 0.000, 0.000)
Se (0.163, 0.163, 0.325)
Se (0.837, 0.837, 0.675)
O (0.000, 0.500, 0.000)
O (0.500, 0.000, 0.000)

=====

Entry 5:
Entry from Alexandria: an optimized crystal structure of BaTlSe2O6 (PBE).

## Properties
* theoretical density: 5.536 g/cm³
* E_tot: -5.394 eV/atom
* ΔE_f (raw): -1294 meV per atom

Lattice parameters (Å, degrees): 7.295 7.295 7.075 100.78 100.78 98.05
Element x y z (fractional)
Ba (0.160, 0.840, 0.250)
Ba (0.840, 0.160, 0.750)
Tl (0.568, 0.432, 0.250)
Tl (0.432, 0.568, 0.750)
Se (0.342, 0.056, 0.815)
Se (0.944, 0.658, 0.685)
Se (0.658, 0.944, 0.185)
Se (0.056, 0.342, 0.315)
O (0.913, 0.474, 0.194)
O (0.526, 0.087, 0.306)
O (0.087, 0.526, 0.806)
O (0.474, 0.913, 0.694)
O (0.090, 0.176, 0.127)
O (0.824, 0.910, 0.373)
O (0.910, 0.824, 0.873)
O (0.176, 0.090, 0.627)
O (0.276, 0.503, 0.387)
O (0.497, 0.724, 0.113)
O (0.724, 0.497, 0.613)
O (0.503, 0.276, 0.887)

=====

Entry 6:
Entry from Alexandria: an optimized crystal structure of BaTl2Se2O6 (PBE).

## Properties
* theoretical density: 4.212 g/cm³
* E_tot: -5.224 eV/atom
* ΔE_f (raw): -1280 meV per atom

Lattice parameters (Å, degrees): 6.625 6.625 9.137 68.75 68.75 60.00
Element x y z (fractional)
Ba (0.000, 0.000, 0.000)
Tl (0.714, 0.714, 0.858)
Tl (0.286, 0.286, 0.142)
Se (0.418, 0.418, 0.746)
Se (0.582, 0.582, 0.254)
O (0.748, 0.748, 0.160)
O (0.345, 0.748, 0.160)
O (0.748, 0.345, 0.160)
O (0.252, 0.655, 0.840)
O (0.655, 0.252, 0.840)
O (0.252, 0.252, 0.840)

=====

Entry 7:
Entry from Alexandria: an optimized crystal structure of BaTlSe2O8 (PBE).

## Properties
* theoretical density: 5.240 g/cm³
* E_tot: -5.356 eV/atom
* ΔE_f (raw): -1112 meV per atom

Lattice parameters (Å, degrees): 5.389 5.389 8.497 71.51 71.51 60.00
Site moments in Bohr magnetons follow the coordinates.
Element x y z (fractional)
Ba (0.500, 0.500, 0.500)  0.00
Tl (0.000, 0.000, 0.000)  0.28
Se (0.248, 0.248, 0.257)  0.01
Se (0.752, 0.752, 0.743)  0.01
O (0.177, 0.177, 0.469)  0.02
O (0.547, 0.306, 0.193)  0.06
O (0.823, 0.823, 0.531)  0.02
O (0.954, 0.547, 0.193)  0.06
O (0.046, 0.453, 0.807)  0.06
O (0.306, 0.954, 0.193)  0.06
O (0.694, 0.046, 0.807)  0.06
O (0.453, 0.694, 0.807)  0.06

=====

Entry 8:
Entry from Alexandria: an optimized crystal structure of BaTlSeO (PBE).

## Properties
* theoretical density: 6.245 g/cm³
* E_tot: -4.528 eV/atom
* ΔE_f (raw): -1345 meV per atom

Lattice parameters (Å, degrees): 4.675 4.675 12.267 90.00 90.00 120.00
Element x y z (fractional)
Ba (0.333, 0.667, 0.935)
Ba (0.667, 0.333, 0.435)
Tl (0.000, 0.000, 0.163)
Tl (0.000, 0.000, 0.663)
Se (0.667, 0.333, 0.734)
Se (0.333, 0.667, 0.234)
O (0.000, 0.000, 0.480)
O (0.000, 0.000, 0.980)